## a
# Hf3ScN2 | Alexandria via LeMat-Bulk | PBE | optimized geometry
# **ρ**: 10.7 g/cm³
data_Hf3ScN2
_space_group_name_H-M_alt 'P 1'
_space_group_IT_number 1
_cell_length_a 5.211
_cell_length_b 6.473
_cell_length_c 6.473
_cell_angle_alpha 120.00
_cell_angle_beta 90.00
_cell_angle_gamma 90.00
loop_
_space_group_symop_operation_xyz
'x,y,z'
loop_
_atom_site_label
_atom_site_type_symbol
_atom_site_fract_x
_atom_site_fract_y
_atom_site_fract_z
_atom_site_occupancy
Hf1 Hf 0.761 0.167 0.833 1
Hf2 Hf 0.761 0.665 0.833 1
Hf3 Hf 0.761 0.167 0.335 1
Hf4 Hf 0.239 0.833 0.665 1
Hf5 Hf 0.239 0.833 0.167 1
Hf6 Hf 0.239 0.335 0.167 1
Sc1 Sc 0.246 0.333 0.667 1
Sc2 Sc 0.754 0.667 0.333 1
N1 N 0.000 0.000 0.000 1
N2 N 0.000 0.500 0.000 1
N3 N 0.000 0.000 0.500 1
N4 N 0.000 0.500 0.500 1

---

## b
# Hf3ScN2 | Alexandria via LeMat-Bulk | PBE | optimized geometry
# **ρ**: 10.7 g/cm³
data_Hf3ScN2
_space_group_name_H-M_alt 'P 1'
_space_group_IT_number 1
_cell_length_a 3.223
_cell_length_b 7.198
_cell_length_c 8.487
_cell_angle_alpha 84.54
_cell_angle_beta 79.05
_cell_angle_gamma 77.06
loop_
_space_group_symop_operation_xyz
'x,y,z'
loop_
_atom_site_label
_atom_site_type_symbol
_atom_site_fract_x
_atom_site_fract_y
_atom_site_fract_z
_atom_site_occupancy
Hf1 Hf 0.061 0.070 0.808 1
Hf2 Hf 0.939 0.930 0.192 1
Hf3 Hf 0.689 0.682 0.940 1
Hf4 Hf 0.311 0.318 0.060 1
Hf5 Hf 0.809 0.824 0.559 1
Hf6 Hf 0.191 0.176 0.441 1
Sc1 Sc 0.437 0.430 0.696 1
Sc2 Sc 0.563 0.570 0.304 1
N1 N 0.873 0.376 0.877 1
N2 N 0.127 0.624 0.123 1
N3 N 0.623 0.132 0.623 1
N4 N 0.377 0.868 0.377 1

---

Referenced to the most stable arrangement, the calculated values in kJ/mol of atoms are a 0.0; b 2.4.

---

## a
# Hf2Sc2N | Alexandria via LeMat-Bulk | PBE | optimized geometry
# **ρ**: 7.7 g/cm³
data_Hf2Sc2N
_space_group_name_H-M_alt 'P 1'
_space_group_IT_number 1
_cell_length_a 6.006
_cell_length_b 6.006
_cell_length_c 5.543
_cell_angle_alpha 90.00
_cell_angle_beta 90.00
_cell_angle_gamma 90.00
loop_
_space_group_symop_operation_xyz
'x,y,z'
loop_
_atom_site_label
_atom_site_type_symbol
_atom_site_fract_x
_atom_site_fract_y
_atom_site_fract_z
_atom_site_occupancy
Sc1 Sc 0.158 0.658 0.500 1
Sc2 Sc 0.658 0.842 0.500 1
Sc3 Sc 0.842 0.342 0.500 1
Sc4 Sc 0.342 0.158 0.500 1
Hf1 Hf 0.326 0.826 0.000 1
Hf2 Hf 0.826 0.674 0.000 1
Hf3 Hf 0.674 0.174 0.000 1
Hf4 Hf 0.174 0.326 0.000 1
N1 N 0.000 0.000 0.000 1
N2 N 0.500 0.500 0.000 1

---

## b
# Hf2Sc2N | Alexandria via LeMat-Bulk | PBE | optimized geometry
# **ρ**: 8.3 g/cm³
data_Hf2Sc2N
_space_group_name_H-M_alt 'P 1'
_space_group_IT_number 1
_cell_length_a 3.324
_cell_length_b 3.324
_cell_length_c 8.694
_cell_angle_alpha 78.98
_cell_angle_beta 78.98
_cell_angle_gamma 90.00
loop_
_space_group_symop_operation_xyz
'x,y,z'
loop_
_atom_site_label
_atom_site_type_symbol
_atom_site_fract_x
_atom_site_fract_y
_atom_site_fract_z
_atom_site_occupancy
Sc1 Sc 0.750 0.250 0.500 1
Sc2 Sc 0.250 0.750 0.500 1
Hf1 Hf 0.417 0.417 0.165 1
Hf2 Hf 0.583 0.583 0.835 1
N1 N 0.000 0.000 0.000 1

---

Referenced to the most stable arrangement, the calculated values in kJ/mol of atoms are a 0.0; b 116.6.

---

## a
# HfScN | Alexandria via LeMat-Bulk | PBE | optimized geometry
# **ρ**: 8.4 g/cm³
data_HfScN
_space_group_name_H-M_alt 'P 1'
_space_group_IT_number 1
_cell_length_a 3.274
_cell_length_b 4.355
_cell_length_c 6.547
_cell_angle_alpha 90.00
_cell_angle_beta 90.00
_cell_angle_gamma 90.00
loop_
_space_group_symop_operation_xyz
'x,y,z'
loop_
_atom_site_label
_atom_site_type_symbol
_atom_site_fract_x
_atom_site_fract_y
_atom_site_fract_z
_atom_site_occupancy
Hf1 Hf 0.000 0.000 0.750 1
Hf2 Hf 0.000 0.000 0.250 1
Sc1 Sc 0.500 0.500 0.000 1
Sc2 Sc 0.500 0.500 0.500 1
N1 N 0.000 0.500 0.750 1
N2 N 0.000 0.500 0.250 1

---

## b
# HfScN | Alexandria via LeMat-Bulk | PBE | optimized geometry
# **ρ**: 8.3 g/cm³
data_HfScN
_space_group_name_H-M_alt 'P 1'
_space_group_IT_number 1
_cell_length_a 5.280
_cell_length_b 3.229
_cell_length_c 3.229
_cell_angle_alpha 120.00
_cell_angle_beta 90.00
_cell_angle_gamma 90.00
loop_
_space_group_symop_operation_xyz
'x,y,z'
loop_
_atom_site_label
_atom_site_type_symbol
_atom_site_fract_x
_atom_site_fract_y
_atom_site_fract_z
_atom_site_occupancy
Sc1 Sc 0.235 0.333 0.667 1
Hf1 Hf 0.766 0.667 0.333 1
N1 N 0.998 0.000 0.000 1

---

## c
# HfScN | Alexandria via LeMat-Bulk | PBE | optimized geometry
# **ρ**: 8.3 g/cm³
data_HfScN
_space_group_name_H-M_alt 'P 1'
_space_group_IT_number 1
_cell_length_a 3.090
_cell_length_b 5.660
_cell_length_c 6.291
_cell_angle_alpha 116.73
_cell_angle_beta 104.22
_cell_angle_gamma 90.00
loop_
_space_group_symop_operation_xyz
'x,y,z'
loop_
_atom_site_label
_atom_site_type_symbol
_atom_site_fract_x
_atom_site_fract_y
_atom_site_fract_z
_atom_site_occupancy
Hf1 Hf 0.763 0.263 0.526 1
Hf2 Hf 0.237 0.737 0.474 1
Sc1 Sc 0.500 0.763 0.000 1
Sc2 Sc 0.500 0.237 0.000 1
N1 N 0.126 0.126 0.252 1
N2 N 0.874 0.874 0.748 1

---

## d
# HfScN | Alexandria via LeMat-Bulk | PBE | optimized geometry
# **ρ**: 7.6 g/cm³
data_HfScN
_space_group_name_H-M_alt 'P 1'
_space_group_IT_number 1
_cell_length_a 3.104
_cell_length_b 4.379
_cell_length_c 4.379
_cell_angle_alpha 77.62
_cell_angle_beta 69.24
_cell_angle_gamma 69.24
loop_
_space_group_symop_operation_xyz
'x,y,z'
loop_
_atom_site_label
_atom_site_type_symbol
_atom_site_fract_x
_atom_site_fract_y
_atom_site_fract_z
_atom_site_occupancy
Hf1 Hf 0.259 0.241 0.241 1
Sc1 Sc 0.744 0.756 0.756 1
N1 N 0.997 0.003 0.003 1

---

Referenced to the most stable arrangement, the calculated values in kJ/mol of atoms are a 6.8; b 0.0; c 45.4; d 64.6.

---

## a
# Hf3ScN | Alexandria via LeMat-Bulk | PBE | optimized geometry
# **ρ**: 8.2 g/cm³
data_Hf3ScN
_space_group_name_H-M_alt 'P 1'
_space_group_IT_number 1
_cell_length_a 4.930
_cell_length_b 4.930
_cell_length_c 4.930
_cell_angle_alpha 90.00
_cell_angle_beta 90.00
_cell_angle_gamma 90.00
loop_
_space_group_symop_operation_xyz
'x,y,z'
loop_
_atom_site_label
_atom_site_type_symbol
_atom_site_fract_x
_atom_site_fract_y
_atom_site_fract_z
_atom_site_occupancy
Sc1 Sc 0.000 0.000 0.000 1
Hf1 Hf 0.000 0.500 0.000 1
Hf2 Hf 0.000 0.000 0.500 1
Hf3 Hf 0.500 0.000 0.000 1
N1 N 0.500 0.500 0.500 1

---

## b
# Hf3ScN | Alexandria via LeMat-Bulk | PBE | optimized geometry
# **ρ**: 10.5 g/cm³
data_Hf3ScN
_space_group_name_H-M_alt 'P 1'
_space_group_IT_number 1
_cell_length_a 5.151
_cell_length_b 5.645
_cell_length_c 6.454
_cell_angle_alpha 89.98
_cell_angle_beta 90.00
_cell_angle_gamma 90.00
loop_
_space_group_symop_operation_xyz
'x,y,z'
loop_
_atom_site_label
_atom_site_type_symbol
_atom_site_fract_x
_atom_site_fract_y
_atom_site_fract_z
_atom_site_occupancy
Hf1 Hf 0.421 0.346 0.201 1
Hf2 Hf 0.431 0.825 0.952 1
Hf3 Hf 0.931 0.527 0.452 1
Hf4 Hf 0.921 0.007 0.701 1
Hf5 Hf 0.931 0.527 0.950 1
Hf6 Hf 0.431 0.825 0.450 1
Sc1 Sc 0.422 0.349 0.701 1
Sc2 Sc 0.922 0.003 0.201 1
N1 N 0.174 0.686 0.701 1
N2 N 0.674 0.667 0.201 1

---

## c
# Hf3ScN | Alexandria via LeMat-Bulk | PBE | optimized geometry
# **ρ**: 10.7 g/cm³
data_Hf3ScN
_space_group_name_H-M_alt 'P 1'
_space_group_IT_number 1
_cell_length_a 4.518
_cell_length_b 4.518
_cell_length_c 4.518
_cell_angle_alpha 90.00
_cell_angle_beta 90.00
_cell_angle_gamma 90.00
loop_
_space_group_symop_operation_xyz
'x,y,z'
loop_
_atom_site_label
_atom_site_type_symbol
_atom_site_fract_x
_atom_site_fract_y
_atom_site_fract_z
_atom_site_occupancy
Sc1 Sc 0.500 0.500 0.500 1
Hf1 Hf 0.000 0.500 0.000 1
Hf2 Hf 0.000 0.000 0.500 1
Hf3 Hf 0.500 0.000 0.000 1
N1 N 0.000 0.000 0.000 1

---

## d
# Hf3ScN | Alexandria via LeMat-Bulk | PBE | optimized geometry
# **ρ**: 10.6 g/cm³
data_Hf3ScN
_space_group_name_H-M_alt 'P 1'
_space_group_IT_number 1
_cell_length_a 6.444
_cell_length_b 6.444
_cell_length_c 6.440
_cell_angle_alpha 120.34
_cell_angle_beta 121.36
_cell_angle_gamma 88.57
loop_
_space_group_symop_operation_xyz
'x,y,z'
loop_
_atom_site_label
_atom_site_type_symbol
_atom_site_fract_x
_atom_site_fract_y
_atom_site_fract_z
_atom_site_occupancy
Hf1 Hf 0.741 0.997 0.257 1
Hf2 Hf 0.259 0.516 0.257 1
Hf3 Hf 0.741 0.484 0.743 1
Hf4 Hf 0.750 0.500 0.250 1
Hf5 Hf 0.259 0.003 0.743 1
Hf6 Hf 0.250 0.500 0.750 1
Sc1 Sc 0.740 0.000 0.740 1
Sc2 Sc 0.260 0.000 0.260 1
N1 N 0.500 0.744 0.244 1
N2 N 0.500 0.256 0.756 1

---

Referenced to the most stable arrangement, the calculated values in kJ/mol of atoms are a 291.8; b 0.0; c 5.7; d 6.7.

---

## a
# HfScSe2N | Alexandria via LeMat-Bulk | PBE | optimized geometry
# **ρ**: 6.5 g/cm³
data_HfScSe2N
_space_group_name_H-M_alt 'P 1'
_space_group_IT_number 1
_cell_length_a 5.117
_cell_length_b 5.117
_cell_length_c 3.871
_cell_angle_alpha 90.00
_cell_angle_beta 90.00
_cell_angle_gamma 90.00
loop_
_space_group_symop_operation_xyz
'x,y,z'
loop_
_atom_site_label
_atom_site_type_symbol
_atom_site_fract_x
_atom_site_fract_y
_atom_site_fract_z
_atom_site_occupancy
Sc1 Sc 0.000 0.000 0.000 1
Hf1 Hf 0.500 0.500 0.500 1
Se1 Se 0.000 0.500 0.000 1
Se2 Se 0.500 0.000 0.000 1
N1 N 0.000 0.000 0.500 1

---

## b
# HfScSe2N | Alexandria via LeMat-Bulk | PBE | optimized geometry
# **ρ**: 6.0 g/cm³
data_HfScSe2N
_space_group_name_H-M_alt 'P 1'
_space_group_IT_number 1
_cell_length_a 5.231
_cell_length_b 5.231
_cell_length_c 3.977
_cell_angle_alpha 90.00
_cell_angle_beta 90.00
_cell_angle_gamma 90.00
loop_
_space_group_symop_operation_xyz
'x,y,z'
loop_
_atom_site_label
_atom_site_type_symbol
_atom_site_fract_x
_atom_site_fract_y
_atom_site_fract_z
_atom_site_occupancy
Sc1 Sc 0.500 0.500 0.500 1
Hf1 Hf 0.000 0.000 0.000 1
Se1 Se 0.000 0.500 0.000 1
Se2 Se 0.500 0.000 0.000 1
N1 N 0.000 0.000 0.500 1

---

Referenced to the most stable arrangement, the calculated values in kJ/mol of atoms are a 49.0; b 0.0.